[1]
A relaxed structure of Er3Si2Ir3. Source: Alexandria via LeMat-Bulk, functional PBE.

Results
Its total magnetization is 0.00 Bohr magnetons per cell. For the formation energy without anion corrections, the calculation gives -1.05 eV/atom.

Cell: 5.4978 7.5122 14.7144 Å, 90.00 90.00 90.00°
Fractional positions:
1 Er 0.9028 0.8283 0.2500
2 Er 0.8697 0.5258 0.6080
3 Er 0.4028 0.6717 0.7500
4 Er 0.6303 0.0258 0.8920
5 Er 0.0972 0.1717 0.7500
6 Er 0.5972 0.3283 0.2500
7 Er 0.8697 0.5258 0.8920
8 Er 0.1303 0.4742 0.1080
9 Er 0.3697 0.9742 0.1080
10 Er 0.1303 0.4742 0.3920
11 Er 0.6303 0.0258 0.6080
12 Er 0.3697 0.9742 0.3920
13 Si 0.3784 0.3762 0.6043
14 Si 0.8784 0.1238 0.1043
15 Si 0.3784 0.3762 0.8957
16 Si 0.1216 0.8762 0.8957
17 Si 0.1216 0.8762 0.6043
18 Si 0.6216 0.6238 0.1043
19 Si 0.6216 0.6238 0.3957
20 Si 0.8784 0.1238 0.3957
21 Ir 0.9081 0.8207 0.7500
22 Ir 0.0919 0.1793 0.2500
23 Ir 0.1001 0.1695 0.9603
24 Ir 0.3999 0.6695 0.5397
25 Ir 0.3999 0.6695 0.9603
26 Ir 0.6001 0.3305 0.0397
27 Ir 0.8999 0.8305 0.0397
28 Ir 0.6001 0.3305 0.4603
29 Ir 0.1001 0.1695 0.5397
30 Ir 0.4081 0.6793 0.2500
31 Ir 0.5919 0.3207 0.7500
32 Ir 0.8999 0.8305 0.4603

[2]
A relaxed structure of CsMgTlPb2. Source: Alexandria via LeMat-Bulk, functional PBE.

Results
Its total magnetization is 0.00 Bohr magnetons per cell. As for the formation energy: -0.0695 eV/atom.

Cell: 5.3441 5.3441 7.4516 Å, 111.01 111.01 90.00°
Fractional positions:
1 Tl 0.2500 0.7500 0.5000
2 Pb 0.3787 0.3787 0.7574
3 Pb 0.6213 0.6213 0.2426
4 Mg 0.7500 0.2500 0.5000
5 Cs 0.0000 0.0000 0.0000

[3]
A relaxed structure of TlH2F. Source: Alexandria via LeMat-Bulk, functional PBE.

Results
Its total magnetization is 0.00 Bohr magnetons per cell. For the relative energy among the computed polymorphs, the calculation gives 0.131 eV per atom.

Cell: 3.7352 3.7352 7.5621 Å, 75.70 75.70 90.00°
Fractional positions:
1 H 0.8750 0.1243 0.7500
2 H 0.8743 0.1250 0.2500
3 H 0.3750 0.1257 0.7500
4 H 0.8757 0.6250 0.2500
5 F 0.5000 0.5000 0.0000
6 F 0.2500 0.7500 0.5000
7 Tl 0.7500 0.2500 0.5000
8 Tl 0.0000 0.0000 0.0000

[4]
A relaxed structure of SiBr3F. Source: Alexandria via LeMat-Bulk, functional PBE.

Results
Its total magnetization is 0.67 Bohr magnetons per cell. For the formation energy without anion corrections, the calculation gives -0.11 eV/atom. For the relative energy among the computed polymorphs, the calculation gives 0.000 eV per atom.

Cell: 4.9879 4.9879 4.9879 Å, 90.00 90.00 90.00°
Site moments in Bohr magnetons follow the coordinates.
Fractional positions:
1 Si 0.0000 0.0000 0.0000  0.02
2 Br 0.0000 0.0000 0.5000  -0.04
3 Br 0.0000 0.5000 0.0000  -0.06
4 Br 0.5000 0.0000 0.0000  -0.06
5 F 0.5000 0.5000 0.5000  -0.44

[5]
A relaxed structure of Ru2RhCl. Source: Alexandria via LeMat-Bulk, functional PBE.

Results
Its total magnetization is 1.46 Bohr magnetons per cell. For the formation energy without anion corrections, the calculation gives 0.59 eV/atom. For the relative energy among the computed polymorphs, the calculation gives 0.241 eV per atom.

Cell: 2.8232 2.8232 8.8287 Å, 90.00 90.00 121.25°
Site moments in Bohr magnetons follow the coordinates.
Fractional positions:
1 Ru 0.5000 0.5000 0.2552  0.51
2 Ru 0.0000 0.0000 0.0034  0.72
3 Cl 0.0000 0.0000 0.4925  0.01
4 Rh 0.5000 0.5000 0.7489  0.16

[6]
A relaxed structure of LaRuNO2. Source: Alexandria via LeMat-Bulk, functional PBE.

Results
Its total magnetization is 0.00 Bohr magnetons per cell. For the formation energy without anion corrections, the calculation gives -1.46 eV/atom.

Cell: 4.1070 4.1070 3.7596 Å, 90.00 90.00 90.00°
Fractional positions:
1 O 0.0000 0.5000 0.0000
2 O 0.5000 0.0000 0.0000
3 Ru 0.0000 0.0000 0.0000
4 La 0.5000 0.5000 0.5000
5 N 0.0000 0.0000 0.5000